# 1
Material: GaCu3Ag
Method: DFT, GGA-PBE
State: relaxed

The calculation puts the calculated total energy at -13.749 eV/cell. The energy of formation from the pure elements is 0.884 eV per atom.

The structure belongs to space group Pm-3m (No. 221); the cell edges are 4.767, 4.767 and 4.767 Å and the angles 90.00°, 90.00° and 90.00°. The inequivalent atoms are Ga at (0.000, 0.000, 0.000), Cu at (0.000, 0.500, 0.500) and Ag at (0.500, 0.500, 0.500).

# 2
Material: LiPu2SnSe4
Method: DFT, GGA-PBE
State: relaxed

The calculation puts the calculated total energy at -57.513 eV/cell.

The structure belongs to space group P2/m (No. 10); the cell edges are 7.279, 4.209 and 7.315 Å and the angles 90.00°, 109.69° and 90.00°. The inequivalent atoms are Li at (0.000, 0.000, 0.000), Pu at (0.500, 0.000, 0.500), Pu at (0.500, 0.500, 0.000), Sn at (0.000, 0.500, 0.500), Se at (0.254, 0.500, 0.248) and Se at (0.259, 0.000, 0.761).